(1)
First-principles (PBE) data for a relaxed structure of Co2TeMoCl, as listed in Alexandria.

Results
* raw total energy: -4.843 eV per atom
* M_tot: 0.841 μB per atom
* ΔE_f (raw): 1.163 eV/atom

```
data_Co2TeMoCl
_chemical_formula_sum 'Co2 Te1 Mo1 Cl1'
_cell_length_a 4.814
_cell_length_b 4.814
_cell_length_c 5.086
_cell_angle_alpha 90.00
_cell_angle_beta 90.00
_cell_angle_gamma 90.00
_symmetry_space_group_name_H-M 'P 4/m m m'
_symmetry_Int_Tables_number 123
_symmetry_space_group_name_Hall '-P 4 2'
loop_
_atom_site_label
_atom_site_fract_x
_atom_site_fract_y
_atom_site_fract_z
Co1 0.000 0.500 0.000
Te1 0.000 0.000 0.500
Mo1 0.000 0.000 0.000
Cl1 0.500 0.500 0.500
```

---

(2)
First-principles (PBE) data for a relaxed structure of TlCoMo2Cl, as listed in Alexandria.

Results
* raw total energy: -5.410 eV per atom
* M_tot: 0.989 μB per atom
* ΔE_f (raw): 1.186 eV/atom

```
data_TlCoMo2Cl
_chemical_formula_sum 'Tl1 Co1 Mo2 Cl1'
_cell_length_a 4.638
_cell_length_b 4.638
_cell_length_c 5.094
_cell_angle_alpha 90.00
_cell_angle_beta 90.00
_cell_angle_gamma 90.00
_symmetry_space_group_name_H-M 'P 4/m m m'
_symmetry_Int_Tables_number 123
_symmetry_space_group_name_Hall '-P 4 2'
loop_
_atom_site_label
_atom_site_fract_x
_atom_site_fract_y
_atom_site_fract_z
Tl1 0.000 0.000 0.000
Co1 0.000 0.000 0.500
Mo1 0.000 0.500 0.500
Cl1 0.500 0.500 0.000
```

---

(3)
First-principles (PBE) data for a relaxed structure of V2CoMoCl, as listed in Alexandria.

Results
* raw total energy: -6.088 eV per atom
* M_tot: 0.518 μB per atom
* ΔE_f (raw): 1.516 eV/atom

```
data_V2CoMoCl
_chemical_formula_sum 'V2 Co1 Mo1 Cl1'
_cell_length_a 4.588
_cell_length_b 4.588
_cell_length_c 4.662
_cell_angle_alpha 90.00
_cell_angle_beta 90.00
_cell_angle_gamma 90.00
_symmetry_space_group_name_H-M 'P 4/m m m'
_symmetry_Int_Tables_number 123
_symmetry_space_group_name_Hall '-P 4 2'
loop_
_atom_site_label
_atom_site_fract_x
_atom_site_fract_y
_atom_site_fract_z
V1 0.000 0.500 0.000
Co1 0.000 0.000 0.500
Mo1 0.500 0.500 0.000
Cl1 0.500 0.500 0.500
```

---

(4)
First-principles (PBE) data for a relaxed structure of YCo2MoCl, as listed in Alexandria.

Results
* raw total energy: -5.898 eV per atom
* M_tot: 0.804 μB per atom
* ΔE_f (raw): 0.773 eV/atom

```
data_YCo2MoCl
_chemical_formula_sum 'Y1 Co2 Mo1 Cl1'
_cell_length_a 4.203
_cell_length_b 4.203
_cell_length_c 4.961
_cell_angle_alpha 90.00
_cell_angle_beta 90.00
_cell_angle_gamma 90.00
_symmetry_space_group_name_H-M 'P 4/m m m'
_symmetry_Int_Tables_number 123
_symmetry_space_group_name_Hall '-P 4 2'
loop_
_atom_site_label
_atom_site_fract_x
_atom_site_fract_y
_atom_site_fract_z
Y1 0.000 0.000 0.000
Co1 0.000 0.500 0.500
Mo1 0.500 0.500 0.000
Cl1 0.000 0.000 0.500
```

---

(5)
First-principles (PBE) data for a relaxed structure of CoN2Cl4, as listed in Alexandria.

Results
* raw total energy: -3.378 eV per atom
* M_tot: 0.421 μB per atom
* ΔE_f (raw): 1.071 eV/atom

```
data_CoN2Cl4
_chemical_formula_sum 'Co3 N6 Cl12'
_cell_length_a 3.4654
_cell_length_b 3.4654
_cell_length_c 43.6750
_cell_angle_alpha 90.00
_cell_angle_beta 90.00
_cell_angle_gamma 120.00
_symmetry_space_group_name_H-M 'R -3 m'
_symmetry_Int_Tables_number 166
_symmetry_space_group_name_Hall '-R 3 2"'
loop_
_atom_site_label
_atom_site_fract_x
_atom_site_fract_y
_atom_site_fract_z
Co1 0.0000 0.0000 0.0000
N1 0.0000 0.0000 0.2065
Cl1 0.0000 0.0000 0.1165
Cl2 0.0000 0.0000 0.3020
```

---

(6)
First-principles (PBE) data for a relaxed structure of CoNCl2, as listed in Alexandria.

Results
* raw total energy: -3.882 eV per atom
* M_tot: 1.500 μB per atom
* ΔE_f (raw): 0.899 eV/atom

```
data_CoNCl2
_chemical_formula_sum 'Co2 N2 Cl4'
_cell_length_a 6.135
_cell_length_b 3.544
_cell_length_c 9.536
_cell_angle_alpha 90.00
_cell_angle_beta 104.13
_cell_angle_gamma 90.00
_symmetry_space_group_name_H-M 'P 1 21/m 1'
_symmetry_Int_Tables_number 11
_symmetry_space_group_name_Hall '-P 2yb'
loop_
_atom_site_label
_atom_site_fract_x
_atom_site_fract_y
_atom_site_fract_z
Co1 0.250 0.250 0.000
N1 0.247 0.750 0.492
Cl1 0.029 0.750 0.856
Cl2 0.471 0.750 0.144
```

---

(7)
First-principles (PBE) data for a relaxed structure of CoN6Cl3, as listed in Alexandria.

Results
* raw total energy: -3.686 eV per atom
* M_tot: 0.935 μB per atom
* ΔE_f (raw): 2.573 eV/atom

```
data_CoN6Cl3
_chemical_formula_sum 'Co4 N24 Cl12'
_cell_length_a 8.190
_cell_length_b 8.190
_cell_length_c 8.190
_cell_angle_alpha 90.00
_cell_angle_beta 90.00
_cell_angle_gamma 90.00
_symmetry_space_group_name_H-M 'F m -3 m'
_symmetry_Int_Tables_number 225
_symmetry_space_group_name_Hall '-F 4 2 3'
loop_
_atom_site_label
_atom_site_fract_x
_atom_site_fract_y
_atom_site_fract_z
Co1 0.000 0.000 0.000
N1 0.000 0.000 0.227
Cl1 0.000 0.000 0.500
Cl2 0.250 0.250 0.250
```

---

(8)
First-principles (PBE) data for a relaxed structure of CoNCl2, as listed in Alexandria.

Results
* raw total energy: -3.641 eV per atom
* M_tot: 0.634 μB per atom
* ΔE_f (raw): 1.140 eV/atom

```
data_CoNCl2
_chemical_formula_sum 'Co3 N3 Cl6'
_cell_length_a 3.4218
_cell_length_b 3.4218
_cell_length_c 20.4927
_cell_angle_alpha 90.00
_cell_angle_beta 90.00
_cell_angle_gamma 120.00
_symmetry_space_group_name_H-M 'R -3 m'
_symmetry_Int_Tables_number 166
_symmetry_space_group_name_Hall '-R 3 2"'
loop_
_atom_site_label
_atom_site_fract_x
_atom_site_fract_y
_atom_site_fract_z
Co1 0.0000 0.0000 0.0000
N1 0.0000 0.0000 0.5000
Cl1 0.0000 0.0000 0.3997
```